Record 1
Below is a relaxed NdNiB2C crystal, with properties calculated at the GGA-PBE level.

Cell lengths 5.4687, 5.4687, 6.3454 Å; angles 90.00, 90.00, 140.29 degrees
Last column: nearest neighbours and their distance in Å.
Sites, in units of the cell vectors:
1 Nd 0.1044 0.8956 0.7500  4 C 2.67, 3 Ni 2.88-2.95, 6 B 2.92-2.96
2 Nd 0.8956 0.1044 0.2500  4 C 2.67, 3 Ni 2.88-2.95, 6 B 2.92-2.96
3 Ni 0.1820 0.8180 0.2500  4 B 2.14
4 Ni 0.8180 0.1820 0.7500  4 B 2.14
5 B 0.3750 0.6250 0.6110  1 C 1.47
6 B 0.3750 0.6250 0.8890  1 C 1.47
7 B 0.6250 0.3750 0.1110  1 C 1.47
8 B 0.6250 0.3750 0.3890  1 C 1.47
9 C 0.5000 0.5000 0.0000  2 B 1.47
10 C 0.5000 0.5000 0.5000  2 B 1.47

Summary:
DFT total energy ... -34.29 eV/f.u.
N(E_F) ... 0.3289 states/eV/atom
Calculated formation energy ... -0.23 eV/atom

Record 2
Below is a relaxed NdNi2B2C crystal, with properties calculated at the GGA-PBE level.

Cell lengths 5.6545, 5.6545, 5.6545 Å; angles 141.89, 141.89, 54.99 degrees
Last column: nearest neighbours and their distance in Å.
Sites, in units of the cell vectors:
1 Nd 0.0000 0.0000 0.0000  4 C 2.61
2 Ni 0.2500 0.7500 0.5000  4 B 2.11
3 Ni 0.7500 0.2500 0.5000  4 B 2.11
4 B 0.3509 0.3509 0.0000  1 C 1.50
5 B 0.6491 0.6491 0.0000  1 C 1.50
6 C 0.5000 0.5000 0.0000  2 B 1.50

Summary:
DFT total energy ... -41.62 eV/f.u.
N(E_F) ... 0.3888 states/eV/atom
Calculated formation energy ... -0.45 eV/atom

Record 3
Below is a relaxed Nd2B2Os2C crystal, with properties calculated at the GGA-PBE level.

Cell lengths 5.8096, 5.8096, 6.8242 Å; angles 123.71, 123.71, 38.00 degrees
Last column: nearest neighbours and their distance in Å.
Sites, in units of the cell vectors:
1 Nd 0.0676 0.0676 0.3240  2 C 2.66
2 Nd 0.9324 0.9324 0.6760  2 C 2.66
3 B 0.3025 0.3025 0.2341  3 Os 2.12-2.22
4 B 0.6975 0.6975 0.7659  3 Os 2.12-2.22
5 Os 0.2983 0.2983 0.9054  1 C 1.91, 2 B 2.12
6 Os 0.7017 0.7017 0.0946  1 C 1.91, 2 B 2.12
7 C 0.5000 0.5000 0.0000  2 Os 1.91

Summary:
DFT total energy ... -57.34 eV/f.u.
N(E_F) ... 0.5812 states/eV/atom
Calculated formation energy ... -0.40 eV/atom

Record 4
Below is a relaxed Nd2Re2B2C crystal, with properties calculated at the GGA-PBE level.

Cell lengths 5.8161, 5.8161, 6.8647 Å; angles 122.31, 122.31, 37.28 degrees
Last column: nearest neighbours and their distance in Å.
Sites, in units of the cell vectors:
1 Nd 0.0735 0.0735 0.3293  2 C 2.67, 1 B 2.98
2 Nd 0.9265 0.9265 0.6707  2 C 2.67, 1 B 2.98
3 Re 0.2981 0.2981 0.9112  1 C 1.95, 2 B 2.15
4 Re 0.7019 0.7019 0.0888  1 C 1.95, 2 B 2.15
5 B 0.3127 0.3127 0.2489  3 Re 2.15-2.23
6 B 0.6873 0.6873 0.7511  3 Re 2.15-2.23
7 C 0.5000 0.5000 0.0000  2 Re 1.95

Summary:
DFT total energy ... -59.28 eV/f.u.
N(E_F) ... 0.4490 states/eV/atom
Calculated formation energy ... -0.32 eV/atom

Record 5
Below is a relaxed NdB2Rh2C crystal, with properties calculated at the GGA-PBE level.

Cell lengths 3.8663, 3.8663, 5.8345 Å; angles 109.15, 109.15, 90.00 degrees
Last column: nearest neighbours and their distance in Å.
Sites, in units of the cell vectors:
1 Nd 0.0000 0.0000 0.0000  4 C 2.73
2 B 0.3534 0.3534 0.7094  1 C 1.50
3 B 0.6466 0.6466 0.2906  1 C 1.50
4 Rh 0.2501 0.7499 0.5000  4 B 2.22
5 Rh 0.7499 0.2501 0.5000  4 B 2.22
6 C 0.5000 0.5000 0.0000  2 B 1.50

Summary:
DFT total energy ... -45.54 eV/f.u.
N(E_F) ... 0.3636 states/eV/atom
Calculated formation energy ... -0.58 eV/atom

Record 6
Below is a relaxed Nd2BRuC crystal, with properties calculated at the GGA-PBE level.

Cell lengths 3.8999, 3.8999, 12.4923 Å; angles 90.00, 90.00, 90.00 degrees
Last column: nearest neighbours and their distance in Å.
Sites, in units of the cell vectors:
1 Nd 0.2500 0.2500 0.0962  5 C 2.56-2.76
2 Nd 0.2500 0.2500 0.6913  1 C 2.50
3 Nd 0.7500 0.7500 0.3087  1 C 2.50
4 Nd 0.7500 0.7500 0.9038  5 C 2.56-2.76
5 B 0.2500 0.2500 0.4283  4 Ru 2.15
6 B 0.7500 0.7500 0.5717  4 Ru 2.15
7 Ru 0.2500 0.7500 0.5000  4 B 2.15
8 Ru 0.7500 0.2500 0.5000  4 B 2.15
9 C 0.2500 0.2500 0.8913  6 Nd 2.50-2.76
10 C 0.7500 0.7500 0.1087  6 Nd 2.50-2.76

Summary:
DFT total energy ... -35.45 eV/f.u.
N(E_F) ... 0.7410 states/eV/atom
Calculated formation energy ... -0.15 eV/atom

Record 7
Below is a relaxed NiBC2 crystal, with properties calculated at the GGA-PBE level.

Cell lengths 3.5522, 3.5522, 4.0895 Å; angles 107.98, 107.98, 55.14 degrees
Last column: nearest neighbours and their distance in Å.
Sites, in units of the cell vectors:
1 Ni 0.0000 0.0000 0.0000  3 C 1.93-2.12, 3 B 2.08-2.10
2 B 0.3550 0.3550 0.1523  2 C 1.47-1.49
3 C 0.2537 0.2537 0.4324  1 C 1.32
4 C 0.2874 0.2874 0.7693  1 C 1.32, 1 B 1.47

Summary:
DFT total energy ... -28.57 eV/f.u.
N(E_F) ... 0.1919 states/eV/atom
Calculated formation energy ... 0.58 eV/atom

Record 8
Below is a relaxed NiBC2 crystal, with properties calculated at the GGA-PBE level.

Cell lengths 3.6087, 3.6087, 4.6151 Å; angles 123.84, 123.84, 44.25 degrees
Last column: nearest neighbours and their distance in Å.
Sites, in units of the cell vectors:
1 Ni 0.0000 0.0000 0.0000  4 C 1.96-2.08
2 B 0.0010 0.0010 0.5040  3 C 1.56-1.59
3 C 0.6140 0.6140 0.7229  1 C 1.45, 2 B 1.59
4 C 0.7498 0.7498 0.1137  1 C 1.45, 1 B 1.56

Summary:
DFT total energy ... -29.23 eV/f.u.
N(E_F) ... 0.3207 states/eV/atom
Calculated formation energy ... 0.42 eV/atom

Record 9
Below is a relaxed Ni2BC crystal, with properties calculated at the GGA-PBE level.

Cell lengths 5.4367, 5.4367, 5.4367 Å; angles 132.56, 132.56, 69.34 degrees
Last column: nearest neighbours and their distance in Å.
Sites, in units of the cell vectors:
1 Ni 0.1028 0.6250 0.9778  2 C 1.85, 2 B 1.97
2 Ni 0.3750 0.3528 0.4778  2 C 1.85, 2 B 1.97
3 Ni 0.6472 0.1250 0.0222  2 C 1.85, 2 B 1.97
4 Ni 0.8750 0.8972 0.5222  2 C 1.85, 2 B 1.97
5 B 0.2500 0.7500 0.5000  4 Ni 1.97
6 B 0.5000 0.5000 0.0000  4 Ni 1.97
7 C 0.0000 0.0000 0.0000  4 Ni 1.85
8 C 0.7500 0.2500 0.5000  4 Ni 1.85

Summary:
DFT total energy ... -24.48 eV/f.u.
N(E_F) ... 0.5007 states/eV/atom
Calculated formation energy ... 0.75 eV/atom

Record 10
Below is a relaxed NiBC2 crystal, with properties calculated at the GGA-PBE level.

Cell lengths 2.7267, 3.9726, 3.9807 Å; angles 60.33, 70.81, 69.98 degrees
Last column: nearest neighbours and their distance in Å.
Sites, in units of the cell vectors:
1 Ni 0.0000 0.0000 0.0000  2 C 1.98, 3 B 2.04-2.20
2 B 0.2769 0.0041 0.4562  3 C 1.54-1.61
3 C 0.5057 0.6431 0.3587  1 C 1.41, 1 B 1.54
4 C 0.6614 0.2322 0.4585  1 C 1.41

Summary:
DFT total energy ... -29.16 eV/f.u.
N(E_F) ... 0.3918 states/eV/atom
Calculated formation energy ... 0.44 eV/atom

Record 11
Below is a relaxed NiBC2 crystal, with properties calculated at the GGA-PBE level.

Cell lengths 4.9572, 4.9572, 4.9572 Å; angles 32.27, 32.27, 32.27 degrees
Last column: nearest neighbours and their distance in Å.
Sites, in units of the cell vectors:
1 Ni 0.0000 0.0000 0.0000  3 C 1.91
2 B 0.7978 0.7978 0.7978  3 C 1.62
3 C 0.1522 0.1522 0.1522  1 C 1.49, 3 B 1.62
4 C 0.2583 0.2583 0.2583  1 C 1.49

Summary:
DFT total energy ... -29.19 eV/f.u.
N(E_F) ... 0.3483 states/eV/atom
Calculated formation energy ... 0.43 eV/atom

Record 12
Below is a relaxed Ni2BC crystal, with properties calculated at the GGA-PBE level.

Cell lengths 3.5717, 3.5717, 3.5717 Å; angles 60.00, 60.00, 60.00 degrees
Last column: nearest neighbours and their distance in Å.
Sites, in units of the cell vectors:
1 Ni 0.2500 0.2500 0.2500  4 B 2.19, 4 C 2.19
2 Ni 0.7500 0.7500 0.7500  4 C 2.19, 4 B 2.19
3 B 0.0000 0.0000 0.0000  8 Ni 2.19
4 C 0.5000 0.5000 0.5000  8 Ni 2.19

Summary:
DFT total energy ... -23.96 eV/f.u.
N(E_F) ... 0.4695 states/eV/atom
Calculated formation energy ... 0.87 eV/atom

Question: Which value of calculated formation energy does entry 1 give?
Answer: -0.23 eV/atom